1.
Here is crystalline LuPa2Ge at its relaxed geometry from Alexandria. Energies are from GGA-PBE.

## Properties
calculated total energy: -6.89 eV per atom
SG: R-3m
V: 24.56 Å³ per atom
polymorph energy (0 for the lowest one): 375 meV/atom
total magnetization: 0.0 μB/cell
energy of formation: 143 meV/atom

Cell lengths 3.174, 3.174, 11.405 Å; angles 82.00, 82.00, 60.00 degrees
Fractional coordinates of all 4 atoms:
Ge (0.500, 0.500, 0.500)
Pa (0.093, 0.093, 0.721)
Pa (0.907, 0.907, 0.279)
Lu (0.000, 0.000, 0.000)

=====

2.
Here is crystalline Y3Al9Ag2 at its relaxed geometry from Alexandria. Energies are from GGA-PBE.

## Properties
calculated total energy: -4.59 eV per atom
SG: Immm
V: 19.55 Å³ per atom
total magnetization: 0.0 μB/cell
energy of formation: -392 meV/atom

Cell lengths 4.314, 8.334, 8.334 Å; angles 75.13, 75.00, 75.00 degrees
Fractional coordinates of all 14 atoms:
Y (0.000, 0.000, 0.000)
Y (0.691, 0.309, 0.309)
Y (0.309, 0.691, 0.691)
Al (0.000, 0.500, 0.500)
Al (0.661, 0.967, 0.712)
Al (0.339, 0.033, 0.288)
Al (0.661, 0.712, 0.967)
Al (0.339, 0.288, 0.033)
Al (0.865, 0.857, 0.414)
Al (0.135, 0.143, 0.586)
Al (0.865, 0.414, 0.857)
Al (0.135, 0.586, 0.143)
Ag (0.500, 0.291, 0.709)
Ag (0.500, 0.709, 0.291)

=====

3.
Here is crystalline Ac8Rh3I4Cl at its relaxed geometry from Alexandria. Energies are from GGA-PBE.

## Properties
calculated total energy: -4.98 eV per atom
formation energy (no corrections): -100.88 kJ/mol of atoms
SG: C2/m
V: 36.90 Å³ per atom
total magnetization: 0.0 μB/cell

Cell lengths 8.868, 10.067, 8.873 Å; angles 116.19, 119.98, 90.00 degrees
Fractional coordinates of all 16 atoms:
Ac (0.243, 0.691, 0.949)
Ac (0.243, 0.691, 0.485)
Ac (0.272, 0.317, 0.544)
Ac (0.706, 0.691, 0.949)
Ac (0.294, 0.309, 0.051)
Ac (0.728, 0.683, 0.456)
Ac (0.757, 0.309, 0.515)
Ac (0.757, 0.309, 0.051)
Rh (0.500, 0.500, 0.000)
Rh (0.500, 0.500, 0.500)
Rh (0.000, 0.500, 0.500)
I (0.500, 0.000, 0.000)
I (0.500, 0.000, 0.500)
I (0.000, 0.000, 0.000)
I (0.000, 0.000, 0.500)
Cl (0.000, 0.500, 0.000)

=====

4.
Here is crystalline CsInGa2Sb at its relaxed geometry from Alexandria. Energies are from GGA-PBE.

## Properties
calculated total energy: -2.24 eV per atom
formation energy (no corrections): 49.81 kJ/mol of atoms
SG: P4/mmm
V: 38.40 Å³ per atom
total magnetization: 0.0 μB/cell

Cell lengths 5.475, 6.405, 5.475 Å; angles 90.00, 90.00, 90.00 degrees
Fractional coordinates of all 5 atoms:
Cs (0.000, 0.500, 0.000)
Sb (0.500, 0.500, 0.500)
Ga (0.000, 0.000, 0.500)
Ga (0.500, 0.000, 0.000)
In (0.000, 0.000, 0.000)

=====

5.
Here is crystalline NiIrRh4 at its relaxed geometry from Alexandria. Energies are from GGA-PBE.

## Properties
calculated total energy: -7.30 eV per atom
SG: Cmc2_1
V: 13.84 Å³ per atom
polymorph energy (0 for the lowest one): 3 meV/atom
total magnetization: 0.0 μB/cell
energy of formation: 40 meV/atom

Cell lengths 2.722, 7.118, 8.734 Å; angles 90.00, 90.00, 101.02 degrees
Fractional coordinates of all 12 atoms:
Ni (0.667, 0.334, 0.771)
Ni (0.333, 0.666, 0.271)
Ir (0.779, 0.558, 0.515)
Ir (0.221, 0.442, 0.015)
Rh (0.999, 0.998, 0.267)
Rh (0.001, 0.002, 0.767)
Rh (0.885, 0.771, 0.024)
Rh (0.115, 0.229, 0.524)
Rh (0.670, 0.339, 0.267)
Rh (0.330, 0.661, 0.767)
Rh (0.444, 0.888, 0.516)
Rh (0.556, 0.112, 0.016)

=====

6.
Here is crystalline KLiRh4 at its relaxed geometry from Alexandria. Energies are from GGA-PBE.

## Properties
calculated total energy: -5.00 eV per atom
SG: F-43m
V: 17.87 Å³ per atom
total magnetization: 2.6 μB/cell
energy of formation: 403 meV/atom

Cell lengths 5.333, 5.333, 5.333 Å; angles 60.00, 60.00, 60.00 degrees
Fractional coordinates of all 6 atoms:
K (0.750, 0.750, 0.750)
Li (0.000, 0.000, 0.000)
Rh (0.877, 0.374, 0.374)
Rh (0.374, 0.374, 0.877)
Rh (0.374, 0.877, 0.374)
Rh (0.374, 0.374, 0.374)

=====

7.
Here is crystalline SrReBr at its relaxed geometry from Alexandria. Energies are from GGA-PBE.

## Properties
calculated total energy: -4.49 eV per atom
formation energy (no corrections): 75.42 kJ/mol of atoms
SG: I4mm
V: 25.46 Å³ per atom
polymorph energy (0 for the lowest one): 0 meV/atom
total magnetization: 2.9 μB/cell

Cell lengths 6.979, 6.978, 3.415 Å; angles 75.85, 75.82, 28.33 degrees
Fractional coordinates of all 3 atoms:
Re (0.334, 0.334, 0.666)
Br (0.002, 0.002, 0.998)
Sr (0.664, 0.664, 0.336)

=====

8.
Here is crystalline Fe2PdRh2 at its relaxed geometry from Alexandria. Energies are from GGA-PBE.

## Properties
calculated total energy: -7.27 eV per atom
SG: P4/mbm
V: 14.32 Å³ per atom
polymorph energy (0 for the lowest one): 7 meV/atom
total magnetization: 14.1 μB/cell
energy of formation: 91 meV/atom

Cell lengths 7.184, 7.184, 2.774 Å; angles 90.00, 90.00, 90.00 degrees
Fractional coordinates of all 10 atoms:
Rh (0.366, 0.866, 0.000)
Rh (0.866, 0.634, 0.000)
Rh (0.634, 0.134, 0.000)
Rh (0.134, 0.366, 0.000)
Fe (0.164, 0.664, 0.500)
Fe (0.664, 0.836, 0.500)
Fe (0.836, 0.336, 0.500)
Fe (0.336, 0.164, 0.500)
Pd (0.000, 0.000, 0.000)
Pd (0.500, 0.500, 0.000)